Entry 1:
# TaBeH, optimized geometry, DFT GGA-PBE
# **Crystal system**: monoclinic
# **Relative energy among the computed polymorphs**: 103 meV per atom
data_TaBeH
_chemical_formula_sum 'Ta2 Be2 H2'
_symmetry_space_group_name_H-M 'P 1'
_symmetry_Int_Tables_number 1
_cell_length_a 9.9175
_cell_length_b 4.9678
_cell_length_c 4.9678
_cell_angle_alpha 138.51
_cell_angle_beta 151.34
_cell_angle_gamma 28.66
loop_
_symmetry_equiv_pos_as_xyz
'x,y,z'
loop_
_atom_site_label
_atom_site_fract_x
_atom_site_fract_y
_atom_site_fract_z
_atom_site_occupancy
Be1 0.8890 0.9036 0.0964 1
Be2 0.3956 0.2631 0.7369 1
H1 0.3881 0.5750 0.4250 1
H2 0.9603 0.6687 0.3313 1
Ta1 0.8843 0.1882 0.8118 1
Ta2 0.3908 0.9743 0.0257 1


Entry 2:
# TaBeH, optimized geometry, DFT GGA-PBE
# **Crystal system**: hexagonal
# **Relative energy among the computed polymorphs**: 1114 meV per atom
data_TaBeH
_chemical_formula_sum 'Ta2 Be2 H2'
_symmetry_space_group_name_H-M 'P 1'
_symmetry_Int_Tables_number 1
_cell_length_a 3.9784
_cell_length_b 3.9784
_cell_length_c 4.7499
_cell_angle_alpha 90.00
_cell_angle_beta 90.00
_cell_angle_gamma 120.00
loop_
_symmetry_equiv_pos_as_xyz
'x,y,z'
loop_
_atom_site_label
_atom_site_fract_x
_atom_site_fract_y
_atom_site_fract_z
_atom_site_occupancy
Be1 0.3333 0.6667 0.2500 1
Be2 0.6667 0.3333 0.7500 1
H1 0.0000 0.0000 0.0000 1
H2 0.0000 0.0000 0.5000 1
Ta1 0.3333 0.6667 0.7500 1
Ta2 0.6667 0.3333 0.2500 1


Entry 3:
# TaBeH, optimized geometry, DFT GGA-PBE
# **Crystal system**: orthorhombic
# **Relative energy among the computed polymorphs**: 42 meV per atom
data_TaBeH
_chemical_formula_sum 'Ta2 Be2 H2'
_symmetry_space_group_name_H-M 'P 1'
_symmetry_Int_Tables_number 1
_cell_length_a 3.4903
_cell_length_b 4.9685
_cell_length_c 4.9685
_cell_angle_alpha 139.82
_cell_angle_beta 90.00
_cell_angle_gamma 90.00
loop_
_symmetry_equiv_pos_as_xyz
'x,y,z'
loop_
_atom_site_label
_atom_site_fract_x
_atom_site_fract_y
_atom_site_fract_z
_atom_site_occupancy
Be1 0.5000 0.9974 0.0026 1
Be2 0.0000 0.8674 0.1326 1
H1 0.5000 0.6731 0.3269 1
H2 0.0000 0.3733 0.6267 1
Ta1 0.0000 0.5814 0.4186 1
Ta2 0.5000 0.2804 0.7196 1


Entry 4:
# TaBeH2, optimized geometry, DFT GGA-PBE
# **Crystal system**: orthorhombic
# **Relative energy among the computed polymorphs**: 0 meV per atom
data_TaBeH2
_chemical_formula_sum 'Ta4 Be4 H8'
_symmetry_space_group_name_H-M 'P 1'
_symmetry_Int_Tables_number 1
_cell_length_a 7.6135
_cell_length_b 3.3714
_cell_length_c 4.9739
_cell_angle_alpha 90.00
_cell_angle_beta 90.00
_cell_angle_gamma 90.00
loop_
_symmetry_equiv_pos_as_xyz
'x,y,z'
loop_
_atom_site_label
_atom_site_fract_x
_atom_site_fract_y
_atom_site_fract_z
_atom_site_occupancy
Ta1 0.2928 0.0000 0.9116 1
Ta2 0.7072 0.0000 0.9116 1
Ta3 0.7928 0.5000 0.4116 1
Ta4 0.2072 0.5000 0.4116 1
Be1 0.0000 0.0000 0.6296 1
Be2 0.5000 0.5000 0.1296 1
Be3 0.0000 0.5000 0.8885 1
Be4 0.5000 0.0000 0.3885 1
H1 0.1561 0.0000 0.2372 1
H2 0.8439 0.0000 0.2372 1
H3 0.6561 0.5000 0.7372 1
H4 0.3439 0.5000 0.7372 1
H5 0.0000 0.0000 0.9255 1
H6 0.5000 0.5000 0.4255 1
H7 0.0000 0.5000 0.2147 1
H8 0.5000 0.0000 0.7147 1


Entry 5:
# TaBeH, optimized geometry, DFT GGA-PBE
# **Crystal system**: orthorhombic
# **Relative energy among the computed polymorphs**: 49 meV per atom
data_TaBeH
_chemical_formula_sum 'Ta4 Be4 H4'
_symmetry_space_group_name_H-M 'P 1'
_symmetry_Int_Tables_number 1
_cell_length_a 6.5354
_cell_length_b 3.4965
_cell_length_c 4.9200
_cell_angle_alpha 90.00
_cell_angle_beta 90.00
_cell_angle_gamma 90.00
loop_
_symmetry_equiv_pos_as_xyz
'x,y,z'
loop_
_atom_site_label
_atom_site_fract_x
_atom_site_fract_y
_atom_site_fract_z
_atom_site_occupancy
Be1 0.9648 0.2500 0.6099 1
Be2 0.5352 0.7500 0.1099 1
Be3 0.0352 0.7500 0.3901 1
Be4 0.4648 0.2500 0.8901 1
H1 0.0627 0.2500 0.9139 1
H2 0.4373 0.7500 0.4139 1
H3 0.9373 0.7500 0.0861 1
H4 0.5627 0.2500 0.5861 1
Ta1 0.3201 0.2500 0.3729 1
Ta2 0.1799 0.7500 0.8729 1
Ta3 0.6799 0.7500 0.6271 1
Ta4 0.8201 0.2500 0.1271 1


Entry 6:
# TaBeH, optimized geometry, DFT GGA-PBE
# **Crystal system**: orthorhombic
# **Relative energy among the computed polymorphs**: 45 meV per atom
data_TaBeH
_chemical_formula_sum 'Ta2 Be2 H2'
_symmetry_space_group_name_H-M 'P 1'
_symmetry_Int_Tables_number 1
_cell_length_a 3.4788
_cell_length_b 4.9403
_cell_length_c 4.9403
_cell_angle_alpha 41.59
_cell_angle_beta 90.00
_cell_angle_gamma 90.00
loop_
_symmetry_equiv_pos_as_xyz
'x,y,z'
loop_
_atom_site_label
_atom_site_fract_x
_atom_site_fract_y
_atom_site_fract_z
_atom_site_occupancy
Be1 0.2500 0.1235 0.7487 1
Be2 0.7500 0.2513 0.8765 1
H1 0.2500 0.3131 0.3062 1
H2 0.7500 0.6938 0.6869 1
Ta1 0.2500 0.8366 0.4478 1
Ta2 0.7500 0.5522 0.1634 1


Entry 7:
# TaBeH2, optimized geometry, DFT GGA-PBE
# **Crystal system**: trigonal
# **Relative energy among the computed polymorphs**: 108 meV per atom
data_TaBeH2
_chemical_formula_sum 'Ta1 Be1 H2'
_symmetry_space_group_name_H-M 'P 1'
_symmetry_Int_Tables_number 1
_cell_length_a 3.1135
_cell_length_b 3.1155
_cell_length_c 3.8994
_cell_angle_alpha 90.01
_cell_angle_beta 90.00
_cell_angle_gamma 60.01
loop_
_symmetry_equiv_pos_as_xyz
'x,y,z'
loop_
_atom_site_label
_atom_site_fract_x
_atom_site_fract_y
_atom_site_fract_z
_atom_site_occupancy
Ta1 0.3456 0.4033 0.0594 1
Be1 0.6787 0.7374 0.5465 1
H1 0.0125 0.0695 0.8747 1
H2 0.3462 0.4018 0.5558 1


Entry 8:
# Ta2Be16H, optimized geometry, DFT GGA-PBE
# **Crystal system**: trigonal
data_Ta2Be16H
_chemical_formula_sum 'Ta2 Be16 H1'
_symmetry_space_group_name_H-M 'P 1'
_symmetry_Int_Tables_number 1
_cell_length_a 5.5442
_cell_length_b 5.5442
_cell_length_c 5.5442
_cell_angle_alpha 83.53
_cell_angle_beta 83.53
_cell_angle_gamma 83.53
loop_
_symmetry_equiv_pos_as_xyz
'x,y,z'
loop_
_atom_site_label
_atom_site_fract_x
_atom_site_fract_y
_atom_site_fract_z
_atom_site_occupancy
Ta1 0.6671 0.6671 0.6671 1
Ta2 0.3416 0.3416 0.3416 1
Be1 0.7047 0.0050 0.3053 1
Be2 0.0050 0.3053 0.7047 1
Be3 0.3053 0.7047 0.0050 1
Be4 0.0050 0.7047 0.3053 1
Be5 0.7047 0.3053 0.0050 1
Be6 0.3053 0.0050 0.7047 1
Be7 0.3481 0.8438 0.3481 1
Be8 0.8438 0.3481 0.3481 1
Be9 0.3481 0.3481 0.8438 1
Be10 0.6556 0.1660 0.6556 1
Be11 0.1660 0.6556 0.6556 1
Be12 0.6556 0.6556 0.1660 1
Be13 0.0030 0.5056 0.0030 1
Be14 0.5056 0.0030 0.0030 1
Be15 0.0030 0.0030 0.5056 1
Be16 0.0934 0.0934 0.0934 1
H1 0.8396 0.8396 0.8396 1


Entry 9:
# TaBeH, optimized geometry, DFT GGA-PBE
# **Crystal system**: monoclinic
# **Relative energy among the computed polymorphs**: 53 meV per atom
data_TaBeH
_chemical_formula_sum 'Ta2 Be2 H2'
_symmetry_space_group_name_H-M 'P 1'
_symmetry_Int_Tables_number 1
_cell_length_a 3.5054
_cell_length_b 3.4741
_cell_length_c 4.9007
_cell_angle_alpha 90.00
_cell_angle_beta 109.74
_cell_angle_gamma 90.00
loop_
_symmetry_equiv_pos_as_xyz
'x,y,z'
loop_
_atom_site_label
_atom_site_fract_x
_atom_site_fract_y
_atom_site_fract_z
_atom_site_occupancy
Be1 0.5690 0.2500 0.6279 1
Be2 0.4310 0.7500 0.3721 1
H1 0.3771 0.2500 0.8835 1
H2 0.6229 0.7500 0.1165 1
Ta1 0.8645 0.2500 0.2129 1
Ta2 0.1355 0.7500 0.7871 1


Entry 10:
# TaBeH, optimized geometry, DFT GGA-PBE
# **Crystal system**: hexagonal
# **Relative energy among the computed polymorphs**: 1732 meV per atom
data_TaBeH
_chemical_formula_sum 'Ta1 Be1 H1'
_symmetry_space_group_name_H-M 'P 1'
_symmetry_Int_Tables_number 1
_cell_length_a 4.0694
_cell_length_b 4.0694
_cell_length_c 2.5943
_cell_angle_alpha 90.00
_cell_angle_beta 90.00
_cell_angle_gamma 120.00
loop_
_symmetry_equiv_pos_as_xyz
'x,y,z'
loop_
_atom_site_label
_atom_site_fract_x
_atom_site_fract_y
_atom_site_fract_z
_atom_site_occupancy
Be1 0.0000 0.0000 0.0000 1
H1 0.6667 0.3333 0.5000 1
Ta1 0.3333 0.6667 0.0000 1


Entry 11:
# TaBeH2, optimized geometry, DFT GGA-PBE
# **Crystal system**: monoclinic
# **Relative energy among the computed polymorphs**: 59 meV per atom
data_TaBeH2
_chemical_formula_sum 'Ta4 Be4 H8'
_symmetry_space_group_name_H-M 'P 1'
_symmetry_Int_Tables_number 1
_cell_length_a 5.0297
_cell_length_b 3.3431
_cell_length_c 9.0329
_cell_angle_alpha 90.00
_cell_angle_beta 123.16
_cell_angle_gamma 90.00
loop_
_symmetry_equiv_pos_as_xyz
'x,y,z'
loop_
_atom_site_label
_atom_site_fract_x
_atom_site_fract_y
_atom_site_fract_z
_atom_site_occupancy
Ta1 0.2017 0.0000 0.0217 1
Ta2 0.2017 0.5000 0.5217 1
Ta3 0.6440 0.0000 0.4525 1
Ta4 0.6440 0.5000 0.9525 1
Be1 0.6142 0.0000 0.7378 1
Be2 0.6142 0.5000 0.2378 1
Be3 0.8586 0.0000 0.2244 1
Be4 0.8586 0.5000 0.7244 1
H1 0.4105 0.0000 0.8844 1
H2 0.4105 0.5000 0.3844 1
H3 0.9055 0.0000 0.7251 1
H4 0.9055 0.5000 0.2251 1
H5 0.1105 0.0000 0.6011 1
H6 0.1105 0.5000 0.1011 1
H7 0.2106 0.0000 0.3990 1
H8 0.2106 0.5000 0.8990 1


Entry 12:
# TaBeH, optimized geometry, DFT GGA-PBE
# **Crystal system**: orthorhombic
# **Relative energy among the computed polymorphs**: 3 meV per atom
data_TaBeH
_chemical_formula_sum 'Ta4 Be4 H4'
_symmetry_space_group_name_H-M 'P 1'
_symmetry_Int_Tables_number 1
_cell_length_a 6.4457
_cell_length_b 3.4646
_cell_length_c 4.9481
_cell_angle_alpha 90.00
_cell_angle_beta 90.00
_cell_angle_gamma 90.00
loop_
_symmetry_equiv_pos_as_xyz
'x,y,z'
loop_
_atom_site_label
_atom_site_fract_x
_atom_site_fract_y
_atom_site_fract_z
_atom_site_occupancy
Be1 0.0319 0.2500 0.8885 1
Be2 0.4681 0.7500 0.3885 1
Be3 0.9681 0.7500 0.1115 1
Be4 0.5319 0.2500 0.6115 1
H1 0.8749 0.2500 0.4479 1
H2 0.6251 0.7500 0.9479 1
H3 0.1251 0.7500 0.5521 1
H4 0.3749 0.2500 0.0521 1
Ta1 0.1765 0.2500 0.3739 1
Ta2 0.3235 0.7500 0.8739 1
Ta3 0.8235 0.7500 0.6261 1
Ta4 0.6765 0.2500 0.1261 1


Entry 13:
# TaBe2H, optimized geometry, DFT GGA-PBE
# **Crystal system**: cubic
# **Relative energy among the computed polymorphs**: 880 meV per atom
data_TaBe2H
_chemical_formula_sum 'Ta1 Be2 H1'
_symmetry_space_group_name_H-M 'P 1'
_symmetry_Int_Tables_number 1
_cell_length_a 3.9131
_cell_length_b 3.9131
_cell_length_c 3.9131
_cell_angle_alpha 60.00
_cell_angle_beta 60.00
_cell_angle_gamma 60.00
loop_
_symmetry_equiv_pos_as_xyz
'x,y,z'
loop_
_atom_site_label
_atom_site_fract_x
_atom_site_fract_y
_atom_site_fract_z
_atom_site_occupancy
Be1 0.2500 0.2500 0.2500 1
Be2 0.7500 0.7500 0.7500 1
H1 0.0000 0.0000 0.0000 1
Ta1 0.5000 0.5000 0.5000 1


Entry 14:
# Ta2TiBeH, optimized geometry, DFT GGA-PBE
# **Crystal system**: tetragonal
data_Ta2TiBeH
_chemical_formula_sum 'Ta2 Ti1 Be1 H1'
_symmetry_space_group_name_H-M 'P 1'
_symmetry_Int_Tables_number 1
_cell_length_a 4.0636
_cell_length_b 4.0636
_cell_length_c 3.9844
_cell_angle_alpha 90.00
_cell_angle_beta 90.00
_cell_angle_gamma 90.00
loop_
_symmetry_equiv_pos_as_xyz
'x,y,z'
loop_
_atom_site_label
_atom_site_fract_x
_atom_site_fract_y
_atom_site_fract_z
_atom_site_occupancy
Be1 0.5000 0.5000 0.5000 1
Ti1 0.0000 0.0000 0.5000 1
H1 0.0000 0.0000 0.0000 1
Ta1 0.0000 0.5000 0.0000 1
Ta2 0.5000 0.0000 0.0000 1


Entry 15:
# TaBe2TlH, optimized geometry, DFT GGA-PBE
# **Crystal system**: tetragonal
data_TaBe2TlH
_chemical_formula_sum 'Ta1 Be2 Tl1 H1'
_symmetry_space_group_name_H-M 'P 1'
_symmetry_Int_Tables_number 1
_cell_length_a 4.7673
_cell_length_b 3.5256
_cell_length_c 4.7673
_cell_angle_alpha 90.00
_cell_angle_beta 90.00
_cell_angle_gamma 90.00
loop_
_symmetry_equiv_pos_as_xyz
'x,y,z'
loop_
_atom_site_label
_atom_site_fract_x
_atom_site_fract_y
_atom_site_fract_z
_atom_site_occupancy
Be1 0.0000 0.0000 0.5000 1
Be2 0.5000 0.0000 0.0000 1
Tl1 0.5000 0.5000 0.5000 1
H1 0.0000 0.5000 0.0000 1
Ta1 0.0000 0.0000 0.0000 1


Entry 16:
# Ta2BeVH, optimized geometry, DFT GGA-PBE
# **Crystal system**: tetragonal
data_Ta2BeVH
_chemical_formula_sum 'Ta2 Be1 V1 H1'
_symmetry_space_group_name_H-M 'P 1'
_symmetry_Int_Tables_number 1
_cell_length_a 4.2021
_cell_length_b 4.2021
_cell_length_c 3.5073
_cell_angle_alpha 90.00
_cell_angle_beta 90.00
_cell_angle_gamma 90.00
loop_
_symmetry_equiv_pos_as_xyz
'x,y,z'
loop_
_atom_site_label
_atom_site_fract_x
_atom_site_fract_y
_atom_site_fract_z
_atom_site_occupancy
Be1 0.5000 0.5000 0.5000 1
V1 0.0000 0.0000 0.5000 1
H1 0.0000 0.0000 0.0000 1
Ta1 0.0000 0.5000 0.0000 1
Ta2 0.5000 0.0000 0.0000 1


Entry 17:
# TaBeV2H, optimized geometry, DFT GGA-PBE
# **Crystal system**: tetragonal
data_TaBeV2H
_chemical_formula_sum 'Ta1 Be1 V2 H1'
_symmetry_space_group_name_H-M 'P 1'
_symmetry_Int_Tables_number 1
_cell_length_a 3.6551
_cell_length_b 3.6551
_cell_length_c 4.2504
_cell_angle_alpha 90.00
_cell_angle_beta 90.00
_cell_angle_gamma 90.00
loop_
_symmetry_equiv_pos_as_xyz
'x,y,z'
loop_
_atom_site_label
_atom_site_fract_x
_atom_site_fract_y
_atom_site_fract_z
_atom_site_occupancy
Be1 0.5000 0.5000 0.5000 1
V1 0.0000 0.5000 0.0000 1
V2 0.5000 0.0000 0.0000 1
H1 0.0000 0.0000 0.0000 1
Ta1 0.0000 0.0000 0.5000 1


Entry 18:
# ZrTaBeH2, optimized geometry, DFT GGA-PBE
# **Crystal system**: tetragonal
data_ZrTaBeH2
_chemical_formula_sum 'Zr1 Ta1 Be1 H2'
_symmetry_space_group_name_H-M 'P 1'
_symmetry_Int_Tables_number 1
_cell_length_a 3.6310
_cell_length_b 5.5721
_cell_length_c 3.6310
_cell_angle_alpha 90.00
_cell_angle_beta 90.00
_cell_angle_gamma 90.00
loop_
_symmetry_equiv_pos_as_xyz
'x,y,z'
loop_
_atom_site_label
_atom_site_fract_x
_atom_site_fract_y
_atom_site_fract_z
_atom_site_occupancy
Be1 0.5000 0.5000 0.5000 1
H1 0.0000 0.0000 0.5000 1
H2 0.5000 0.0000 0.0000 1
Zr1 0.0000 0.5000 0.0000 1
Ta1 0.0000 0.0000 0.0000 1


Entry 19:
# Tb2BeH, optimized geometry, DFT GGA-PBE
# **Crystal system**: trigonal
data_Tb2BeH
_chemical_formula_sum 'Tb2 Be1 H1'
_symmetry_space_group_name_H-M 'P 1'
_symmetry_Int_Tables_number 1
_cell_length_a 3.6879
_cell_length_b 3.6879
_cell_length_c 6.8472
_cell_angle_alpha 74.38
_cell_angle_beta 74.38
_cell_angle_gamma 60.00
loop_
_symmetry_equiv_pos_as_xyz
'x,y,z'
loop_
_atom_site_label
_atom_site_fract_x
_atom_site_fract_y
_atom_site_fract_z
_atom_site_occupancy
Be1 0.0000 0.0000 0.0000 1
Tb1 0.7608 0.7608 0.7177 1
Tb2 0.2392 0.2392 0.2823 1
H1 0.5000 0.5000 0.5000 1


Entry 20:
# TbBe2H7, optimized geometry, DFT GGA-PBE
# **Crystal system**: orthorhombic
data_TbBe2H7
_chemical_formula_sum 'Tb1 Be2 H7'
_symmetry_space_group_name_H-M 'P 1'
_symmetry_Int_Tables_number 1
_cell_length_a 3.2668
_cell_length_b 5.6687
_cell_length_c 5.6687
_cell_angle_alpha 79.88
_cell_angle_beta 90.00
_cell_angle_gamma 90.00
loop_
_symmetry_equiv_pos_as_xyz
'x,y,z'
loop_
_atom_site_label
_atom_site_fract_x
_atom_site_fract_y
_atom_site_fract_z
_atom_site_occupancy
Tb1 0.0000 0.0000 0.0000 1
Be1 0.5000 0.6979 0.3021 1
Be2 0.5000 0.3021 0.6979 1
H1 0.0000 0.7016 0.2984 1
H2 0.0000 0.2984 0.7016 1
H3 0.5000 0.9630 0.2872 1
H4 0.5000 0.0370 0.7128 1
H5 0.5000 0.2872 0.9630 1
H6 0.5000 0.7128 0.0370 1
H7 0.5000 0.5000 0.5000 1


no.,DFT total energy (eV/atom)
1,-6.507
2,-5.496
3,-6.568
4,-5.703
5,-6.560
6,-6.564
7,-5.595
8,-4.657
9,-6.556
10,-4.878
11,-5.644
12,-6.607
13,-4.652
14,-7.722
15,-4.036
16,-7.971
17,-7.446
18,-5.335
19,-4.076
20,-3.699